VASP calculation (PBE) on a relaxed structure of KSr2Re.

a b c (Å): 3.6419 3.6419 11.6436
angles (deg): 90.00 90.00 90.00
Positions (direct):
K  0.0000  0.0000  0.0000
Sr  0.0000  0.0000  0.3662
Sr  0.5000  0.5000  0.6657
Re  0.5000  0.5000  0.2047

Results
* total moment: 2.35 μB per cell
* density: 4.307 Mg/m³
* E_tot: -3.0949 eV/atom
* symmetry: P4mm, No. 99
* E above lowest polymorph: 1.251 eV per formula unit